The following is a PBEsol calculation of crystalline KOs2Au at its relaxed geometry, from the Alexandria database.

Cell lengths 6.4753, 6.4753, 6.4753 Å; angles 90.00, 90.00, 90.00 degrees
Closest atoms and distances in Å follow each position.
Space group Fm-3m (No. 225)
Asymmetric unit:
K  0.0000  0.0000  0.0000  8 Os 2.80
Os  0.2500  0.2500  0.2500  4 K 2.80, 4 Au 2.80
Au  0.0000  0.0000  0.5000  8 Os 2.80

Results
For the energy relative to the elements, the calculation gives 2.015 eV per atom. The offset from the most stable computed form is 14.92 kcal/mol of atoms.


The following is a PBEsol calculation of crystalline Be2HAu at its relaxed geometry, from the Alexandria database.

Cell lengths 5.4580, 5.4580, 5.4580 Å; angles 90.00, 90.00, 90.00 degrees
Closest atoms and distances in Å follow each position.
Space group Fm-3m (No. 225)
Asymmetric unit:
Be  0.2500  0.2500  0.2500  4 H 2.36, 4 Au 2.36
H  0.0000  0.0000  0.0000  8 Be 2.36
Au  0.0000  0.0000  0.5000  8 Be 2.36

Results
As for the uncorrected energy: -3.37 eV/atom.


no.,mass density (g/cm³),magnetic moment (μB/cell)
1,15.08,10.11
2,8.82,0.00